(1)
{
  "formula": "Na2Er3TmSe6",
  "functional": "PBE",
  "state": "optimized geometry",
  "lattice_angstrom": [[-6.917, 1.207, 0.489], [2.651, -6.154, 2.154], [2.295, 4.178, 5.286]],
  "species": ["Se", "Se", "Se", "Se", "Se", "Se", "Na", "Na", "Tm", "Er", "Er", "Er"],
  "frac_coords": [[0.916, 0.588, 0.747], [0.084, 0.412, 0.253], [0.241, 0.241, 0.743], [0.412, 0.084, 0.253], [0.588, 0.916, 0.747], [0.759, 0.759, 0.257], [0.334, 0.666, 0.000], [0.666, 0.334, 0.000], [0.000, 0.000, 0.000], [0.170, 0.830, 0.500], [0.830, 0.170, 0.500], [0.500, 0.500, 0.500]],
  "e_tot_ev_per_atom": -5.1655,
  "formation_energy_uncorrected_mev_per_atom": -1690,
  "sg": "C2/m (12)",
  "magmom_total_mub_per_fu": 0.00
}

***

(2)
{
  "formula": "Rb2LiInAg",
  "functional": "PBE",
  "state": "optimized geometry",
  "lattice_angstrom": [[-4.048, 3.485, 3.535], [-4.074, -1.632, -3.056], [-0.913, -5.006, 3.890]],
  "species": ["Li", "Rb", "Rb", "In", "Ag"],
  "frac_coords": [[0.000, 0.000, 0.000], [0.500, 0.000, 0.000], [0.000, 0.000, 0.500], [0.000, 0.500, 0.000], [0.500, 0.500, 0.500]],
  "e_tot_ev_per_atom": -1.6079,
  "formation_energy_ev_per_atom": 0.280,
  "sg": "P4/mmm (123)",
  "magmom_total_mub_per_fu": 0.00
}

***

(3)
{
  "formula": "PO",
  "functional": "PBE",
  "state": "optimized geometry",
  "lattice_angstrom": [[4.607, 0.000, -0.033], [0.000, 2.821, 0.000], [-0.684, 0.000, 5.137]],
  "species": ["P", "P", "O", "O"],
  "frac_coords": [[0.451, 0.500, 0.682], [0.891, 0.500, 0.291], [0.567, 0.500, 0.389], [0.097, 0.500, 0.585]],
  "e_tot_ev_per_atom": -6.1350,
  "formation_energy_uncorrected_mev_per_atom": -951,
  "sg": "Pm (6)",
  "magmom_total_mub_per_fu": 0.00
}

***

(4)
{
  "formula": "Na5VSe8",
  "functional": "PBE",
  "state": "optimized geometry",
  "lattice_angstrom": [[-4.160, 5.749, 3.652], [2.249, -7.060, 2.963], [7.064, 3.586, -0.961]],
  "species": ["Se", "Se", "Se", "Se", "Se", "Se", "Se", "Se", "Na", "Na", "Na", "Na", "Na", "V"],
  "frac_coords": [[0.569, 0.888, 0.373], [0.001, 0.744, 0.207], [0.515, 0.196, 0.627], [0.256, 0.462, 0.257], [0.205, 0.999, 0.743], [0.804, 0.431, 0.319], [0.538, 0.795, 0.793], [0.112, 0.485, 0.681], [0.869, 0.320, 0.950], [0.081, 0.131, 0.451], [0.500, 0.500, 0.000], [0.370, 0.919, 0.050], [0.680, 0.630, 0.549], [0.250, 0.750, 0.500]],
  "e_tot_ev_per_atom": -3.7868,
  "formation_energy_uncorrected_mev_per_atom": -673,
  "sg": "I-4 (82)",
  "magmom_total_mub_per_fu": 1.44
}

***

(5)
{
  "formula": "Ac3NdDy3",
  "functional": "PBE",
  "state": "optimized geometry",
  "lattice_angstrom": [[-4.413, -8.138, -3.616], [3.127, -9.009, 2.800], [-4.408, -5.640, 4.415]],
  "species": ["Dy", "Dy", "Dy", "Dy", "Dy", "Dy", "Nd", "Nd", "Ac", "Ac", "Ac", "Ac", "Ac", "Ac"],
  "frac_coords": [[0.400, 0.532, 0.252], [0.468, 0.185, 0.748], [0.532, 0.815, 0.252], [0.600, 0.468, 0.748], [0.185, 0.600, 0.748], [0.815, 0.400, 0.252], [0.743, 0.743, 0.771], [0.257, 0.257, 0.229], [0.044, 0.324, 0.748], [0.676, 0.116, 0.252], [0.324, 0.884, 0.748], [0.956, 0.676, 0.252], [0.884, 0.044, 0.748], [0.116, 0.956, 0.252]],
  "e_tot_ev_per_atom": -4.3559,
  "formation_energy_ev_per_atom": 0.058,
  "sg": "R-3 (148)",
  "magmom_total_mub_per_fu": 0.00
}

***

(6)
{
  "formula": "LaDy2Pt",
  "functional": "PBE",
  "state": "optimized geometry",
  "lattice_angstrom": [[-2.884, 0.732, -1.962], [-1.974, 0.166, 2.963], [1.746, 8.686, 0.675]],
  "species": ["Dy", "Dy", "La", "Pt"],
  "frac_coords": [[0.000, 0.000, 0.184], [0.000, 0.000, 0.816], [0.500, 0.500, 0.500], [0.500, 0.500, 0.000]],
  "e_tot_ev_per_atom": -5.6553,
  "formation_energy_ev_per_atom": -0.612,
  "sg": "P4/mmm (123)",
  "magmom_total_mub_per_fu": 0.00
}

***

(7)
{
  "formula": "TcSnCl3",
  "functional": "PBE",
  "state": "optimized geometry",
  "lattice_angstrom": [[-4.208, 0.387, -3.513], [0.900, -5.165, -1.648], [-3.418, -1.837, 3.892]],
  "species": ["Cl", "Cl", "Cl", "Sn", "Tc"],
  "frac_coords": [[0.500, 0.000, 0.000], [0.000, 0.000, 0.500], [0.000, 0.500, 0.000], [0.000, 0.000, 0.000], [0.500, 0.500, 0.500]],
  "e_tot_ev_per_atom": -3.6758,
  "formation_energy_uncorrected_mev_per_atom": 306,
  "sg": "Pm-3m (221)",
  "magmom_total_mub_per_fu": 5.90
}

***

(8)
{
  "formula": "ZrFeAu",
  "functional": "PBE",
  "state": "optimized geometry",
  "lattice_angstrom": [[3.090, 0.000, 0.000], [-1.545, 2.676, 0.000], [0.000, 0.000, 6.593]],
  "species": ["Fe", "Au", "Zr"],
  "frac_coords": [[0.333, 0.667, 0.331], [0.000, 0.000, 0.017], [0.667, 0.333, 0.652]],
  "e_tot_ev_per_atom": -6.6294,
  "formation_energy_ev_per_atom": 0.133,
  "sg": "P3m1 (156)",
  "magmom_total_mub_per_fu": 2.62
}